# Al2V5Ga

Crystalline Al2V5Ga at its relaxed geometry (PBE, the Alexandria database).

```
16
Lattice="-3.253 3.253 5.361 3.253 -3.253 5.361 3.253 3.253 -5.361" Properties=species:S:1:pos:R:3 pbc="T T T"
Al 4.148 0.895 0.000
Al 0.895 2.358 0.000
Al 2.358 0.895 5.361
Al -0.895 2.358 5.361
V 0.000 0.000 0.000
V 4.295 -1.041 1.743
V 2.212 -1.041 3.618
V 2.212 1.041 1.743
V 4.295 1.041 3.618
V 0.000 0.000 5.361
V -1.041 2.212 1.743
V 1.041 2.212 3.618
V 1.041 4.295 1.743
V -1.041 4.295 3.618
Ga 0.000 0.000 2.680
Ga 0.000 0.000 8.041
```

Values from the calculation:
E above lowest polymorph	0.0692	eV/atom
space group	I4/mcm, No. 140
size of the total moment	0.0000	μB per atom
formation enthalpy at 0 K	-100.0	meV per atom
Fermi-level density of states	10.81	states/eV per cell
total DFT energy (no corrections)	-7.113	eV per atom



# AlVGa

Crystalline AlVGa at its relaxed geometry (PBE, the Alexandria database).

```
6
Lattice="2.689 -6.467 0.000 2.689 6.467 0.000 0.000 0.000 2.701" Properties=species:S:1:pos:R:3 pbc="T T T"
Al 2.689 5.169 0.000
Al 2.689 -5.169 0.000
V 1.344 3.234 1.350
V 1.344 -3.234 1.350
Ga 2.689 1.278 0.000
Ga 2.689 -1.278 0.000
```

Values from the calculation:
E above lowest polymorph	0.0251	eV/atom
space group	Cmmm, No. 65
size of the total moment	0.0000	μB per atom
formation enthalpy at 0 K	-167.8	meV per atom
Fermi-level density of states	2.99	states/eV per cell
total DFT energy (no corrections)	-5.464	eV per atom



# Al5VGa

Crystalline Al5VGa at its relaxed geometry (PBE, the Alexandria database).

```
7
Lattice="-2.501 2.508 4.697 2.501 -2.508 4.697 2.501 2.508 -4.697" Properties=species:S:1:pos:R:3 pbc="T T T"
Al 0.000 0.000 0.000
Al 2.501 1.257 0.123
Al 1.256 2.508 2.304
Al 1.245 0.000 7.001
Al 0.000 1.251 4.821
V 2.501 0.000 3.618
Ga 0.000 0.000 2.513
```

Values from the calculation:
space group	Imm2, No. 44
size of the total moment	0.0949	μB per atom
formation enthalpy at 0 K	108.1	meV per atom
Fermi-level density of states	2.26	states/eV per cell
total DFT energy (no corrections)	-4.300	eV per atom



# AlV5Ga4

Crystalline AlV5Ga4 at its relaxed geometry (PBE, the Alexandria database).

```
10
Lattice="-3.845 3.845 2.606 3.845 -3.845 2.606 3.845 3.845 -2.606" Properties=species:S:1:pos:R:3 pbc="T T T"
Al 0.000 0.000 0.000
V 2.253 -0.631 1.348
V 5.436 0.631 1.348
V 0.000 0.000 2.456
V 0.631 2.253 1.348
V -0.631 5.436 1.348
Ga 4.553 -1.723 1.305
Ga 3.136 1.723 1.305
Ga -1.723 3.136 1.305
Ga 1.723 4.553 1.305
```

Values from the calculation:
space group	I4, No. 79
size of the total moment	0.0010	μB per atom
formation enthalpy at 0 K	159.6	meV per atom
Fermi-level density of states	6.19	states/eV per cell
total DFT energy (no corrections)	-5.985	eV per atom



# AlVGa

Crystalline AlVGa at its relaxed geometry (PBE, the Alexandria database).

```
6
Lattice="5.371 0.000 0.000 0.000 2.705 0.000 0.000 0.000 6.456" Properties=species:S:1:pos:R:3 pbc="T T T"
Al 1.343 0.000 1.268
Al 4.028 0.000 5.188
V 0.000 1.352 3.228
V 2.685 1.352 3.228
Ga 1.343 0.000 5.162
Ga 4.028 0.000 1.294
```

Values from the calculation:
E above lowest polymorph	0.0146	eV/atom
space group	Pmma, No. 51
size of the total moment	0.0000	μB per atom
formation enthalpy at 0 K	-178.3	meV per atom
Fermi-level density of states	2.95	states/eV per cell
total DFT energy (no corrections)	-5.474	eV per atom



# Al2V3Ga

Crystalline Al2V3Ga at its relaxed geometry (PBE, the Alexandria database).

```
12
Lattice="3.957 -4.491 0.000 3.957 4.491 0.000 0.000 0.000 4.963" Properties=species:S:1:pos:R:3 pbc="T T T"
Al 2.623 2.424 3.722
Al 5.291 2.424 3.722
Al 2.623 -2.424 1.241
Al 5.291 -2.424 1.241
V 0.000 0.000 0.000
V 0.000 0.000 2.481
V 2.658 0.000 0.000
V 2.658 0.000 2.481
V 5.256 0.000 0.000
V 5.256 0.000 2.481
Ga 3.957 2.054 1.241
Ga 3.957 -2.054 3.722
```

Values from the calculation:
space group	Cmcm, No. 63
size of the total moment	0.0000	μB per atom
formation enthalpy at 0 K	16.8	meV per atom
Fermi-level density of states	9.85	states/eV per cell
total DFT energy (no corrections)	-6.294	eV per atom



Copy entry 1 word for word.
# Al2V5Ga

Crystalline Al2V5Ga at its relaxed geometry (PBE, the Alexandria database).

```
16
Lattice="-3.253 3.253 5.361 3.253 -3.253 5.361 3.253 3.253 -5.361" Properties=species:S:1:pos:R:3 pbc="T T T"
Al 4.148 0.895 0.000
Al 0.895 2.358 0.000
Al 2.358 0.895 5.361
Al -0.895 2.358 5.361
V 0.000 0.000 0.000
V 4.295 -1.041 1.743
V 2.212 -1.041 3.618
V 2.212 1.041 1.743
V 4.295 1.041 3.618
V 0.000 0.000 5.361
V -1.041 2.212 1.743
V 1.041 2.212 3.618
V 1.041 4.295 1.743
V -1.041 4.295 3.618
Ga 0.000 0.000 2.680
Ga 0.000 0.000 8.041
```

Values from the calculation:
E above lowest polymorph	0.0692	eV/atom
space group	I4/mcm, No. 140
size of the total moment	0.0000	μB per atom
formation enthalpy at 0 K	-100.0	meV per atom
Fermi-level density of states	10.81	states/eV per cell
total DFT energy (no corrections)	-7.113	eV per atom



Among the records above, which one has the lowest Fermi-level density of states?
Al5VGa



Among the records above, which one has the lowest total DFT energy (no corrections)?
Al2V5Ga